[1]
A plane-wave DFT calculation with GGA-PBE was carried out for a relaxed Er5BiAs4 crystal.

Lattice parameters (Å, degrees): 7.2098 7.2098 10.2377 118.37 118.37 33.24
With the nearest neighbours (Å) after each atom.
Fractional coordinates of all 10 atoms:
Er (0.0000, 0.0000, 0.0000)  6 As 2.92-2.93
Er (0.2060, 0.2060, 0.8142)  5 As 2.85-2.92, 1 Bi 3.06
Er (0.3910, 0.3910, 0.6104)  4 As 2.85-2.97, 2 Bi 3.08
Er (0.6090, 0.6090, 0.3896)  4 As 2.85-2.97, 2 Bi 3.08
Er (0.7940, 0.7940, 0.1858)  5 As 2.85-2.92, 1 Bi 3.06
Bi (0.0000, 0.0000, 0.5000)  6 Er 3.06-3.08
As (0.2029, 0.2029, 0.2954)  6 Er 2.85-2.97
As (0.4027, 0.4027, 0.1012)  6 Er 2.85-2.92
As (0.5973, 0.5973, 0.8988)  6 Er 2.85-2.92
As (0.7971, 0.7971, 0.7046)  6 Er 2.85-2.97

[2]
A plane-wave DFT calculation with GGA-PBE was carried out for a relaxed Er2BiAs crystal.

Lattice parameters (Å, degrees): 7.4826 7.4826 7.4826 32.78 32.78 32.78
With the nearest neighbours (Å) after each atom.
Fractional coordinates of all 4 atoms:
Er (0.2417, 0.2417, 0.2417)  3 As 2.91, 3 Bi 3.12
Er (0.7583, 0.7583, 0.7583)  3 As 2.91, 3 Bi 3.12
Bi (0.0000, 0.0000, 0.0000)  6 Er 3.12
As (0.5000, 0.5000, 0.5000)  6 Er 2.91

[3]
A plane-wave DFT calculation with GGA-PBE was carried out for a relaxed Er2BiAs crystal.

Lattice parameters (Å, degrees): 7.6922 7.6922 7.6922 31.57 31.57 31.57
With the nearest neighbours (Å) after each atom.
Fractional coordinates of all 4 atoms:
Er (0.0000, 0.0000, 0.0000)  3 As 2.88, 3 Bi 3.15
Er (0.1862, 0.1862, 0.1862)  3 As 2.93, 3 Bi 3.17
Bi (0.4258, 0.4258, 0.4258)  6 Er 3.15-3.17
As (0.5953, 0.5953, 0.5953)  6 Er 2.88-2.93

[4]
A plane-wave DFT calculation with GGA-PBE was carried out for a relaxed Er6BiAs5 crystal.

Lattice parameters (Å, degrees): 7.1791 7.1791 7.1698 99.63 99.63 119.93
With the nearest neighbours (Å) after each atom.
Fractional coordinates of all 12 atoms:
Er (0.0656, 0.4139, 0.7425)  5 As 2.84-2.95, 1 Bi 3.05
Er (0.2372, 0.2372, 0.2559)  5 As 2.82-2.92, 1 Bi 3.04
Er (0.4139, 0.0656, 0.7425)  5 As 2.84-2.95, 1 Bi 3.05
Er (0.5861, 0.9344, 0.2575)  5 As 2.84-2.95, 1 Bi 3.05
Er (0.7628, 0.7628, 0.7441)  5 As 2.82-2.92, 1 Bi 3.04
Er (0.9344, 0.5861, 0.2575)  5 As 2.84-2.95, 1 Bi 3.05
Bi (0.5000, 0.5000, 0.0000)  6 Er 3.04-3.05
As (0.0000, 0.0000, 0.5000)  6 Er 2.82-2.95
As (0.1670, 0.8330, 0.0000)  6 Er 2.91-2.92
As (0.3371, 0.6629, 0.5000)  6 Er 2.84-2.95
As (0.6629, 0.3371, 0.5000)  6 Er 2.84-2.95
As (0.8330, 0.1670, 0.0000)  6 Er 2.91-2.92

[5]
A plane-wave DFT calculation with GGA-PBE was carried out for a relaxed Er3Bi2As crystal.

Lattice parameters (Å, degrees): 9.6784 9.6784 9.6784 154.12 154.12 36.92
With the nearest neighbours (Å) after each atom.
Fractional coordinates of all 6 atoms:
Er (0.0000, 0.0000, 0.0000)  4 As 3.06, 2 Bi 3.12
Er (0.3451, 0.3451, 0.0000)  1 As 2.84, 4 Bi 3.08
Er (0.6549, 0.6549, 0.0000)  1 As 2.84, 4 Bi 3.08
Bi (0.1697, 0.1697, 0.0000)  6 Er 3.08-3.22
Bi (0.8303, 0.8303, 0.0000)  6 Er 3.08-3.22
As (0.5000, 0.5000, 0.0000)  6 Er 2.84-3.06

[6]
A plane-wave DFT calculation with GGA-PBE was carried out for a relaxed Er4Bi3As crystal.

Lattice parameters (Å, degrees): 7.5599 7.5599 4.3360 90.00 90.00 109.20
With the nearest neighbours (Å) after each atom.
Fractional coordinates of all 8 atoms:
Er (0.2335, 0.2335, 0.5000)  2 As 2.98, 4 Bi 3.08-3.19
Er (0.2411, 0.7589, 0.0000)  1 As 2.97, 5 Bi 3.08-3.19
Er (0.7589, 0.2411, 0.0000)  1 As 2.97, 5 Bi 3.08-3.19
Er (0.7665, 0.7665, 0.5000)  2 As 2.98, 4 Bi 3.08-3.19
Bi (0.0000, 0.5000, 0.5000)  6 Er 3.08
Bi (0.5000, 0.0000, 0.5000)  6 Er 3.08
Bi (0.5000, 0.5000, 0.0000)  6 Er 3.19
As (0.0000, 0.0000, 0.0000)  6 Er 2.97-2.98

[7]
A plane-wave DFT calculation with GGA-PBE was carried out for a relaxed ErBiAs crystal.

Lattice parameters (Å, degrees): 6.4526 6.4526 6.2595 100.10 100.10 38.08
With the nearest neighbours (Å) after each atom.
Fractional coordinates of all 6 atoms:
Er (0.0974, 0.0974, 0.2756)  4 As 2.84-2.90
Er (0.9026, 0.9026, 0.7244)  4 As 2.84-2.90
Bi (0.1926, 0.1926, 0.8154)  2 Bi 3.25, 5 Er 3.30-3.48, 4 As 3.48-3.51
Bi (0.8074, 0.8074, 0.1846)  2 Bi 3.25, 5 Er 3.30-3.48, 4 As 3.48-3.51
As (0.5000, 0.5000, 0.0000)  4 Er 2.84, 2 As 3.13
As (0.5000, 0.5000, 0.5000)  4 Er 2.90, 2 As 3.13

[8]
A plane-wave DFT calculation with GGA-PBE was carried out for a relaxed Er4GeBi2As crystal.

Lattice parameters (Å, degrees): 7.2841 4.1849 7.6151 90.00 108.52 90.00
With the nearest neighbours (Å) after each atom.
Fractional coordinates of all 8 atoms:
Er (0.2387, 0.0000, 0.2202)  2 Ge 2.89, 1 As 2.91, 3 Bi 3.15-3.16
Er (0.2583, 0.5000, 0.7804)  1 Ge 2.89, 2 As 2.90, 3 Bi 3.15-3.17
Er (0.7417, 0.5000, 0.2196)  1 Ge 2.89, 2 As 2.90, 3 Bi 3.15-3.17
Er (0.7613, 0.0000, 0.7798)  2 Ge 2.89, 1 As 2.91, 3 Bi 3.15-3.16
Ge (0.0000, 0.5000, 0.0000)  6 Er 2.89
Bi (0.0000, 0.0000, 0.5000)  6 Er 3.15
Bi (0.5000, 0.5000, 0.5000)  6 Er 3.16-3.17
As (0.5000, 0.0000, 0.0000)  6 Er 2.90-2.91

no.,formation energy (meV per atom),DOS(E_F) (states/eV per cell),raw total energy (eV per atom)
1,-1354,1.71,-5.8831
2,-1140,0.66,-5.5541
3,-1051,1.32,-5.4652
4,-1376,1.73,-5.9177
5,-1001,0.94,-5.3515
6,-953,1.28,-5.2713
7,-657,2.50,-5.0213
8,-946,3.11,-5.3565